VASP calculation (PBE-GGA) on a relaxed structure of Tb2Y2ErMg.

Calculated values
**SG**: No. 58

Unit cell a=10.309 b=11.708 c=3.613 alpha=90.00 beta=90.00 gamma=90.00
Element x y z (fractional)
Tb 0.089 0.224 0.000
Tb 0.411 0.724 0.500
Tb 0.589 0.276 0.500
Tb 0.911 0.776 0.000
Y 0.249 0.428 0.500
Y 0.251 0.928 0.000
Y 0.749 0.072 0.000
Y 0.751 0.572 0.500
Er 0.000 0.000 0.500
Er 0.500 0.500 0.000
Mg 0.000 0.500 0.000
Mg 0.500 0.000 0.500



VASP calculation (PBE-GGA) on a relaxed structure of TbErMgZn.

Calculated values
**SG**: No. 99
**Relative energy among the computed polymorphs**: 0 meV per atom

Unit cell a=3.568 b=3.568 c=7.835 alpha=90.00 beta=90.00 gamma=90.00
Element x y z (fractional)
Tb 0.000 0.000 0.000
Er 0.000 0.000 0.444
Mg 0.500 0.500 0.718
Zn 0.500 0.500 0.229



VASP calculation (PBE-GGA) on a relaxed structure of TbErMgZn.

Calculated values
**SG**: No. 216
**Relative energy among the computed polymorphs**: 32 meV per atom

Unit cell a=5.181 b=5.181 c=5.181 alpha=60.00 beta=60.00 gamma=60.00
Element x y z (fractional)
Tb 0.000 0.000 0.000
Er 0.500 0.500 0.500
Mg 0.250 0.250 0.250
Zn 0.750 0.750 0.750



VASP calculation (PBE-GGA) on a relaxed structure of Er4MgTc.

Calculated values
**SG**: No. 12
**Relative energy among the computed polymorphs**: 117 meV per atom

Unit cell a=6.309 b=6.309 c=9.207 alpha=121.02 beta=121.02 gamma=32.73
Element x y z (fractional)
Er 0.100 0.100 0.371
Er 0.286 0.286 0.191
Er 0.714 0.714 0.809
Er 0.900 0.900 0.629
Mg 0.500 0.500 0.000
Tc 0.500 0.500 0.500



Computed total DFT energy (no corrections) (eV per atom) in order:
-4.253; -3.223; -3.191; -5.015
Computed total magnetic moment (μB/f.u.) in order:
0.00; 0.00; 0.00; 0.00